Sr3Os2O9 | the Alexandria database | GGA-PBE | relaxed; DOS at the Fermi energy = 10.5 states/eV/cell; raw formation energy = -1.857 eV per atom; magnetization = 4.12 μB/cell; total DFT energy (no corrections) = -196.3 eV for the cell shown
1.0
7.193 -0.078 0.558
0.510 7.175 0.558
-0.085 -0.078 7.214
O Sr Os
18 6 4
direct
0.750 0.582 0.918
0.750 0.909 0.079
0.079 0.750 0.909
0.250 0.579 0.409
0.409 0.250 0.579
0.250 0.091 0.921
0.582 0.918 0.750
0.591 0.750 0.421
0.421 0.591 0.750
0.082 0.250 0.418
0.250 0.418 0.082
0.750 0.421 0.591
0.418 0.082 0.250
0.918 0.750 0.582
0.579 0.409 0.250
0.091 0.921 0.250
0.909 0.079 0.750
0.921 0.250 0.091
0.750 0.088 0.412
0.588 0.250 0.912
0.412 0.750 0.088
0.912 0.588 0.250
0.250 0.912 0.588
0.088 0.412 0.750
0.655 0.655 0.655
0.155 0.155 0.155
0.845 0.845 0.845
0.345 0.345 0.345

=====

La2As3Pt4Rh | the Alexandria database | GGA-PBE | relaxed; DOS at the Fermi energy = 8.9 states/eV/cell; magnetization = 0.00 μB/cell; total DFT energy (no corrections) = -63.3 eV for the cell shown; calculated formation energy = -0.801 eV/atom
1.0
-3.459 -2.658 -0.186
1.590 -2.304 3.352
-5.115 6.188 6.679
As Pt La Rh
3 4 2 1
direct
0.000 0.000 0.500
0.000 0.500 0.128
0.500 0.000 0.872
0.500 0.500 0.000
0.500 0.000 0.639
0.000 0.000 0.000
0.000 0.500 0.361
0.500 0.000 0.253
0.000 0.500 0.747
0.500 0.500 0.500

=====

CeNdGa4 | the Alexandria database | GGA-PBE | relaxed; energy above the most stable polymorph in this dataset = 0.00 kcal/mol of atoms; DOS at the Fermi energy = 6.6 states/eV/cell; magnetization = 0.60 μB/cell; total DFT energy (no corrections) = -26.7 eV for the cell shown; calculated formation energy = -0.645 eV/atom
1.0
4.277 0.000 0.000
-2.139 3.704 0.000
0.000 0.000 8.487
Nd Ga Ce
1 4 1
direct
0.000 0.000 0.500
0.667 0.333 0.245
0.333 0.667 0.245
0.333 0.667 0.755
0.667 0.333 0.755
0.000 0.000 0.000

=====

Y2As2Se | the Alexandria database | GGA-PBE | relaxed; energy above the most stable polymorph in this dataset = 2.32 kcal/mol of atoms; DOS at the Fermi energy = 0.0 states/eV/cell; raw formation energy = -1.136 eV per atom; magnetization = 0.00 μB/cell; total DFT energy (no corrections) = -31.4 eV for the cell shown
1.0
-1.255 0.794 -5.139
4.992 -1.298 -1.419
0.650 -4.540 -3.644
As Y Se
2 2 1
direct
0.637 0.637 0.727
0.363 0.363 0.273
0.750 0.250 0.500
0.250 0.750 0.500
0.000 0.000 0.000

=====

Zr2Au3 | the Alexandria database | GGA-PBE | relaxed; energy above the most stable polymorph in this dataset = 2.56 kcal/mol of atoms; DOS at the Fermi energy = 10.7 states/eV/cell; magnetization = 0.00 μB/cell; total DFT energy (no corrections) = -58.0 eV for the cell shown; calculated formation energy = -0.417 eV/atom
1.0
2.432 6.171 5.501
1.035 7.634 0.255
-3.498 1.433 4.162
Zr Au
4 6
direct
0.865 0.246 0.517
0.372 0.517 0.246
0.004 0.385 0.878
0.733 0.878 0.385
0.809 0.916 0.803
0.334 0.441 0.777
0.447 0.777 0.441
0.231 0.269 0.269
0.473 0.803 0.916
0.981 0.019 0.019

=====

BeC5 | the Alexandria database | GGA-PBE | relaxed; energy above the most stable polymorph in this dataset = 2.35 kcal/mol of atoms; DOS at the Fermi energy = 0.1 states/eV/cell; magnetization = 0.00 μB/cell; total DFT energy (no corrections) = -45.4 eV for the cell shown; calculated formation energy = 0.743 eV/atom
1.0
-1.768 0.431 3.302
-1.184 -2.039 2.942
5.127 0.419 5.439
C Be
5 1
direct
0.816 0.816 0.780
0.776 0.776 0.230
0.267 0.267 0.246
0.599 0.599 0.832
0.425 0.425 0.770
0.950 0.950 0.976

=====

PuZnHg | the Alexandria database | GGA-PBE | relaxed; energy above the most stable polymorph in this dataset = 0.00 kcal/mol of atoms; DOS at the Fermi energy = 8.0 states/eV/cell; magnetization = 5.65 μB/cell; total DFT energy (no corrections) = -16.4 eV for the cell shown; calculated formation energy = -0.164 eV/atom
1.0
3.085 0.000 0.000
0.000 4.939 0.000
0.000 -2.470 4.278
Pu Zn Hg
1 1 1
direct
0.667 0.333 0.667
0.167 0.667 0.333
0.166 0.000 0.000

=====

Ca4F | the Alexandria database | GGA-PBE | relaxed; DOS at the Fermi energy = 3.9 states/eV/cell; raw formation energy = -0.986 eV per atom; magnetization = 0.00 μB/cell; total DFT energy (no corrections) = -14.8 eV for the cell shown
1.0
-2.398 -3.731 3.117
4.797 -1.250 2.193
-0.791 3.728 3.855
Ca F
4 1
direct
0.000 0.500 0.500
0.000 0.000 0.000
0.500 0.000 0.500
0.500 0.500 0.000
0.500 0.500 0.500

=====

Number 1 is which compound?
Sr3Os2O9

=====

Among the records above, which one has the lowest total DFT energy (no corrections)?
Sr3Os2O9

=====

Which of these has the highest magnetization?
PuZnHg

=====

What is the total DFT energy (no corrections) in the first record?
-196.3 eV for the cell shown